#one
# BBr3 | the Alexandria database | PBE | relaxed
# calculated density: 4.3 Mg/m³
# DOS at the Fermi energy: 0.3 states/eV per cell
data_BBr3
_space_group_name_H-M_alt 'P 1'
_space_group_IT_number 1
_space_group_name_Hall 'P 1'
_cell_length_a 6.752
_cell_length_b 6.752
_cell_length_c 6.402
_cell_angle_alpha 58.18
_cell_angle_beta 58.18
_cell_angle_gamma 90.00
loop_
_atom_site_label
_atom_site_fract_x
_atom_site_fract_y
_atom_site_fract_z
B1 0.500 0.500 0.000
B2 0.250 0.750 0.500
Br1 0.492 0.125 0.250
Br2 0.258 0.625 0.250
Br3 0.375 0.508 0.750
Br4 0.875 0.742 0.750
Br5 0.000 0.000 0.000
Br6 0.750 0.250 0.500


#two
# BBr3 | the Alexandria database | PBE | relaxed
# calculated density: 4.1 Mg/m³
# DOS at the Fermi energy: 2.5 states/eV per cell
data_BBr3
_space_group_name_H-M_alt 'P 1'
_space_group_IT_number 1
_space_group_name_Hall 'P 1'
_cell_length_a 10.556
_cell_length_b 10.556
_cell_length_c 10.556
_cell_angle_alpha 18.23
_cell_angle_beta 18.23
_cell_angle_gamma 18.23
loop_
_atom_site_label
_atom_site_fract_x
_atom_site_fract_y
_atom_site_fract_z
B1 0.500 0.500 0.500
Br1 0.000 0.000 0.000
Br2 0.878 0.878 0.878
Br3 0.122 0.122 0.122


Most stable structure - #one; separation to the second - 185 meV/atom.